Density functional theory data (meta-GGA SCAN) for Zn2SiPb at its PBEsol-relaxed geometry.

The calculation puts the uncorrected formation energy at 0.385 eV per atom. The calculation puts the offset from the most stable computed form at 107 meV per atom. For the density of states at the Fermi level, the calculation gives 1.5 states/eV per cell.

Cell and atoms, written as POSCAR:
```
Zn2SiPb
1.0
2.9837 0.0000 0.0000
0.0000 3.7627 0.0000
0.0000 0.0000 6.7917
Zn Si Pb
2 1 1
direct
0.0000 0.0000 0.0000
0.5000 0.5000 0.2095
0.5000 0.5000 0.8335
0.0000 0.0000 0.5026
```